First-principles (PBE+U) data for a relaxed structure of SrMnBi2O6, as listed in Alexandria via LeMat-Bulk.

Cell lengths 5.817, 5.920, 5.985 Å; angles 90.24, 118.82, 119.40 degrees
Positions (direct):
Sr1 0.000 0.000 0.000
Mn1 0.046 0.521 0.561
Bi1 0.443 0.225 0.660
Bi2 0.449 0.721 0.182
O1 0.168 0.763 0.352
O2 0.203 0.850 0.816
O3 0.475 0.612 0.808
O4 0.589 0.395 0.361
O5 0.966 0.192 0.362
O6 0.973 0.352 0.823

* total moment: 2.97 μB per cell
* raw total energy: -6.217 eV/atom